First-principles (GGA-PBE) data for Na2LiCd4 after structural relaxation, as listed in the Alexandria database.

It has space group C2/m (No. 12), with a = 8.800 Å, b = 4.956 Å, c = 7.672 Å, α = 90.00°, β = 109.04° and γ = 90.00°. The inequivalent atoms are Na at (0.144, 0.000, 0.423), Li at (0.000, 0.000, 0.000), Cd at (0.069, 0.500, 0.731) and Cd at (0.221, 0.500, 0.139).

The raw total energy comes out at -18.3 eV per cell.